# NiTePb2 PBE-GGA relaxed
data_NiTePb2
_cell_length_a 4.476
_cell_length_b 4.585
_cell_length_c 5.009
_cell_angle_alpha 90.00
_cell_angle_beta 90.00
_cell_angle_gamma 90.00
_space_group_name_H-M_alt 'P m m m'
_space_group_IT_number 47
loop_
_space_group_symop_operation_xyz
'x,y,z'
'-x,-y,-z'
'-x,-y,z'
'x,y,-z'
'x,-y,-z'
'-x,y,z'
'-x,y,-z'
'x,-y,z'
loop_
_atom_site_label
_atom_site_fract_x
_atom_site_fract_y
_atom_site_fract_z
_atom_site_occupancy
Ni1 0.000 0.000 0.000 1
Te1 0.500 0.500 0.000 1
Pb1 0.000 0.500 0.500 1
Pb2 0.500 0.000 0.500 1
# M_tot = 0.000 μB/f.u.
# E = -3.735 eV/atom
# DOS(E_F) = 2.27 states/eV/cell